First-principles (PBE) data for a relaxed structure of LaTl2HgH, as listed in Alexandria via LeMat-Bulk.

```
LaTl2HgH
1.0
4.994 0.000 0.000
0.000 4.994 0.000
0.000 0.000 4.721
La Tl Hg H
1 2 1 1
Direct
0.000 0.000 0.000
0.000 0.500 0.500
0.500 0.000 0.500
0.500 0.500 0.000
0.000 0.000 0.500
```

Computed properties:
Calculated volume in Å³/atom: 23.554
Crystal system: tetragonal

***

First-principles (PBE) data for a relaxed structure of Y2IrAu, as listed in Alexandria via LeMat-Bulk.

```
Y2IrAu
1.0
2.345 1.354 5.200
-2.345 1.354 5.200
0.000 -2.707 5.200
Y Ir Au
2 1 1
Direct
0.000 0.000 0.000
0.203 0.203 0.203
0.819 0.819 0.819
0.408 0.408 0.408
```

Computed properties:
Calculated volume in Å³/atom: 24.753
Formation enthalpy at 0 K in eV/f.u.: -1.866
Crystal system: trigonal

***

First-principles (PBE) data for a relaxed structure of Ac2Sm3Er, as listed in Alexandria via LeMat-Bulk.

```
Ac2Sm3Er
1.0
7.903 -2.647 0.000
7.903 2.647 0.000
-5.218 0.000 10.525
Ac Sm Er
4 6 2
Direct
0.035 0.035 0.367
0.291 0.291 0.632
0.709 0.709 0.368
0.965 0.965 0.633
0.124 0.124 0.118
0.210 0.210 0.880
0.453 0.453 0.116
0.547 0.547 0.884
0.790 0.790 0.120
0.876 0.876 0.882
0.373 0.373 0.368
0.627 0.627 0.632
```

Computed properties:
Calculated volume in Å³/atom: 36.696
Formation enthalpy at 0 K in eV/f.u.: 0.279
Crystal system: monoclinic

***

First-principles (PBE) data for a relaxed structure of Th2UCuN5, as listed in Alexandria via LeMat-Bulk.

```
Th2UCuN5
1.0
1.748 -6.887 0.000
1.748 6.887 0.000
0.000 0.000 10.467
Th U Cu N
4 2 2 10
Direct
0.108 0.892 0.500
0.123 0.877 0.126
0.877 0.123 0.626
0.892 0.108 0.000
0.195 0.805 0.823
0.805 0.195 0.323
0.489 0.511 0.292
0.511 0.489 0.792
0.048 0.952 0.879
0.288 0.712 0.461
0.297 0.703 0.188
0.352 0.648 0.824
0.498 0.502 0.597
0.502 0.498 0.097
0.648 0.352 0.324
0.703 0.297 0.688
0.712 0.288 0.961
0.952 0.048 0.379
```

Computed properties:
Calculated volume in Å³/atom: 14.002
ΔE_f (raw) in eV/atom: -1.12
Crystal system: orthorhombic

***

First-principles (PBE) data for a relaxed structure of MnCu2Pd6, as listed in Alexandria via LeMat-Bulk.

```
MnCu2Pd6
1.0
2.410 -6.815 0.000
2.410 6.815 0.000
-2.113 0.000 4.070
Mn Cu Pd
1 2 6
Direct
0.000 0.000 0.000
0.167 0.833 0.500
0.833 0.167 0.500
0.161 0.491 0.167
0.318 0.318 0.660
0.491 0.161 0.167
0.509 0.839 0.833
0.682 0.682 0.340
0.839 0.509 0.833
```

Computed properties:
Calculated volume in Å³/atom: 14.852
Formation enthalpy at 0 K in eV/f.u.: -0.713
Relative energy among the computed polymorphs in eV/atom: 0.059
Crystal system: monoclinic

***

First-principles (PBE) data for a relaxed structure of TmPuGe2, as listed in Alexandria via LeMat-Bulk.

```
TmPuGe2
1.0
3.910 0.000 0.000
0.000 5.784 0.000
0.000 0.000 8.067
Tm Pu Ge
2 2 4
Direct
0.000 0.134 0.000
0.000 0.866 0.500
0.500 0.366 0.362
0.500 0.634 0.862
0.000 0.390 0.642
0.000 0.610 0.142
0.500 0.104 0.722
0.500 0.896 0.222
```

Computed properties:
Calculated volume in Å³/atom: 22.806
Formation enthalpy at 0 K in eV/f.u.: -2.414
Crystal system: orthorhombic

***

First-principles (PBE) data for a relaxed structure of BaY2Tl, as listed in Alexandria via LeMat-Bulk.

```
BaY2Tl
1.0
5.140 0.000 0.000
0.000 5.140 0.000
0.000 0.000 5.060
Ba Y Tl
1 2 1
Direct
0.000 0.000 0.000
0.000 0.500 0.500
0.500 0.000 0.500
0.500 0.500 0.000
```

Computed properties:
Calculated volume in Å³/atom: 33.415
Formation enthalpy at 0 K in eV/f.u.: 0.072
Relative energy among the computed polymorphs in eV/atom: 0.122
Crystal system: tetragonal

***

First-principles (PBE) data for a relaxed structure of Ba2DyNpS6, as listed in Alexandria via LeMat-Bulk.

```
Ba2DyNpS6
1.0
7.207 0.000 0.000
0.000 7.445 0.000
-7.198 0.000 10.333
Ba Dy Np S
4 2 2 12
Direct
0.235 0.058 0.250
0.235 0.442 0.750
0.765 0.558 0.250
0.765 0.942 0.750
0.500 0.000 0.000
0.500 0.500 0.500
0.000 0.000 0.500
0.000 0.500 0.000
0.156 0.211 0.957
0.156 0.289 0.457
0.248 0.701 0.958
0.248 0.799 0.458
0.325 0.018 0.745
0.325 0.482 0.245
0.675 0.518 0.755
0.675 0.982 0.255
0.752 0.201 0.542
0.752 0.299 0.042
0.844 0.711 0.543
0.844 0.789 0.043
```

Computed properties:
Calculated volume in Å³/atom: 27.717
ΔE_f (raw) in eV/atom: -1.79
Crystal system: monoclinic

***

no.,M_tot (μB per formula unit),raw total energy (hartree per atom)
1,0.00,-0.10588
2,0.00,-0.24744
3,0.00,-0.16328
4,0.00,-0.33463
5,5.03,-0.20103
6,5.85,-0.27978
7,0.47,-0.15752
8,2.00,-0.23548